Compound: BeRe2TcMo
Source: Alexandria
Functional: GGA-PBE
Structure: optimized geometry

Output
Calculated formation energy in eV/atom: 2.22
Calculated volume in A^3/atom: 20.15
Final energy in eV/f.u.: -38.713

Geometry as CIF:
```
data_BeRe2TcMo
_cell_length_a 4.658
_cell_length_b 4.658
_cell_length_c 4.645
_cell_angle_alpha 90.00
_cell_angle_beta 90.00
_cell_angle_gamma 90.00
_space_group_name_H-M_alt 'P 4/m m m'
_space_group_IT_number 123
_space_group_name_Hall '-P 4 2'
loop_
_atom_site_label
_atom_site_fract_x
_atom_site_fract_y
_atom_site_fract_z
Be1 0.000 0.000 0.000
Re1 0.000 0.500 0.500
Tc1 0.500 0.500 0.500
Mo1 0.500 0.500 0.000
```